one:
Here is Ba2MnBr6 after structural relaxation from the Alexandria database. Energies are from PBE.

Unit cell a=7.166 b=7.166 c=13.920 alpha=90.00 beta=90.00 gamma=90.00
Space group P4_2/mnm (No. 136)
One atom of each set of equivalent atoms:
Ba: 0.000 0.000 0.166 (multiplicity 4)
Mn: 0.000 0.000 0.500 (multiplicity 2)
Br: 0.182 0.182 0.358 (multiplicity 8)
Br: 0.225 0.225 0.000 (multiplicity 4)

Magnetization ... 10.000 Bohr magnetons per cell
Volume ... 39.708 Å³ per atom

---

two:
Here is Ba2MnBr6 after structural relaxation from the Alexandria database. Energies are from PBE.

Unit cell a=7.216 b=8.396 c=12.339 alpha=90.00 beta=124.24 gamma=90.00
Space group P2_1/c (No. 14)
One atom of each set of equivalent atoms:
Ba: 0.219 0.107 0.256 (multiplicity 4)
Mn: 0.500 0.000 0.000 (multiplicity 2)
Br: 0.135 0.162 0.950 (multiplicity 4)
Br: 0.289 0.706 0.947 (multiplicity 4)
Br: 0.353 0.023 0.750 (multiplicity 4)

Magnetization ... 10.000 Bohr magnetons per cell
Volume ... 34.337 Å³ per atom

---

Which of them is the most stable? Correct choice: two.

---

one:
Here is BaMn3Br after structural relaxation from the Alexandria database. Energies are from PBE.

Unit cell a=4.988 b=4.988 c=4.988 alpha=90.00 beta=90.00 gamma=90.00
Space group Pm-3m (No. 221)
One atom of each set of equivalent atoms:
Ba: 0.000 0.000 0.000 (multiplicity 1)
Mn: 0.000 0.500 0.500 (multiplicity 3)
Br: 0.500 0.500 0.500 (multiplicity 1)

Magnetization ... 10.047 Bohr magnetons per cell
Volume ... 24.824 Å³ per atom

---

two:
Here is BaMn3Br after structural relaxation from the Alexandria database. Energies are from PBE.

Unit cell a=6.360 b=6.360 c=6.360 alpha=90.00 beta=90.00 gamma=90.00
Space group Pm-3m (No. 221)
One atom of each set of equivalent atoms:
Ba: 0.000 0.000 0.000 (multiplicity 1)
Mn: 0.000 0.000 0.500 (multiplicity 3)
Br: 0.500 0.500 0.500 (multiplicity 1)

Magnetization ... 14.000 Bohr magnetons per cell
Volume ... 51.460 Å³ per atom

---

Which of them is the most stable? Correct choice: one.